[1]
# Zn2NiSn, optimized geometry, DFT PBE
# energy relative to the elements: 101 meV per atom
# space group: I-42d (122)
data_Zn2NiSn
_chemical_formula_sum 'Zn4 Ni2 Sn2'
_space_group_name_H-M_alt 'P 1'
_space_group_IT_number 1
_cell_length_a 3.917
_cell_length_b 3.917
_cell_length_c 9.513
_cell_angle_alpha 78.12
_cell_angle_beta 78.12
_cell_angle_gamma 90.00
loop_
_space_group_symop_operation_xyz
'x,y,z'
loop_
_atom_site_label
_atom_site_fract_x
_atom_site_fract_y
_atom_site_fract_z
_atom_site_occupancy
Zn1 0.875 0.828 0.750 1
Zn2 0.375 0.422 0.750 1
Zn3 0.172 0.625 0.250 1
Zn4 0.578 0.125 0.250 1
Ni1 0.500 0.500 0.000 1
Ni2 0.250 0.750 0.500 1
Sn1 0.750 0.250 0.500 1
Sn2 0.000 0.000 0.000 1

---

[2]
# Dy3AlAg3Te8, optimized geometry, DFT PBE
# raw formation energy: -0.70 eV/atom
# space group: R-3m (166)
data_Dy3AlAg3Te8
_chemical_formula_sum 'Dy3 Al1 Ag3 Te8'
_space_group_name_H-M_alt 'P 1'
_space_group_IT_number 1
_cell_length_a 8.696
_cell_length_b 8.695
_cell_length_c 8.586
_cell_angle_alpha 120.49
_cell_angle_beta 90.00
_cell_angle_gamma 120.00
loop_
_space_group_symop_operation_xyz
'x,y,z'
loop_
_atom_site_label
_atom_site_fract_x
_atom_site_fract_y
_atom_site_fract_z
_atom_site_occupancy
Te1 0.766 0.993 0.260 1
Te2 0.766 0.532 0.260 1
Te3 0.227 0.993 0.260 1
Te4 0.249 0.498 0.248 1
Te5 0.234 0.468 0.740 1
Te6 0.751 0.502 0.752 1
Te7 0.773 0.007 0.740 1
Te8 0.234 0.007 0.740 1
Ag1 0.500 0.500 0.000 1
Ag2 0.000 0.500 0.000 1
Ag3 0.000 0.000 0.000 1
Dy1 0.500 0.000 0.500 1
Dy2 0.000 0.500 0.500 1
Dy3 0.500 0.500 0.500 1
Al1 0.000 0.000 0.500 1

---

[3]
# InGa2PdAu, optimized geometry, DFT PBE
# energy relative to the elements: 323 meV per atom
# space group: P4/mmm (123)
data_InGa2PdAu
_chemical_formula_sum 'In1 Ga2 Pd1 Au1'
_space_group_name_H-M_alt 'P 1'
_space_group_IT_number 1
_cell_length_a 4.843
_cell_length_b 5.337
_cell_length_c 4.843
_cell_angle_alpha 90.00
_cell_angle_beta 90.00
_cell_angle_gamma 90.00
loop_
_space_group_symop_operation_xyz
'x,y,z'
loop_
_atom_site_label
_atom_site_fract_x
_atom_site_fract_y
_atom_site_fract_z
_atom_site_occupancy
In1 0.000 0.500 0.000 1
Pd1 0.500 0.500 0.500 1
Ga1 0.500 0.000 0.000 1
Ga2 0.000 0.000 0.500 1
Au1 0.000 0.000 0.000 1